Compound: ZrSc2Te
Source: Alexandria
Functional: PBE-GGA
Structure: relaxed

Formation energy without anion corrections, eV per atom: -0.387
ρ, g/cm³: 5.79
Calculated volume, Å³ per cell: 88.6

a b c (Å): 4.605 4.605 4.176
angles (deg): 90.00 90.00 90.00
Sites, in units of the cell vectors:
Zr  0.000  0.000  0.000
Sc  0.000  0.500  0.500
Sc  0.500  0.000  0.500
Te  0.500  0.500  0.000

Compound: Pm2NdEr3As6
Source: Alexandria
Functional: PBE-GGA
Structure: relaxed

ρ, g/cm³: 7.49
Calculated volume, Å³ per cell: 307.0
Formation energy, meV per atom: -1514

a b c (Å): 9.314 9.314 8.329
angles (deg): 102.84 102.84 25.87
Sites, in units of the cell vectors:
Pm  0.167  0.167  0.333
Pm  0.833  0.833  0.667
Nd  0.500  0.500  0.000
Er  0.167  0.167  0.833
Er  0.500  0.500  0.500
Er  0.833  0.833  0.167
As  0.002  0.002  0.743
As  0.331  0.331  0.922
As  0.335  0.335  0.412
As  0.665  0.665  0.588
As  0.669  0.669  0.078
As  0.998  0.998  0.257

Compound: Li3HgO3
Source: Alexandria
Functional: PBE-GGA
Structure: relaxed

Formation energy without anion corrections, eV per atom: -1.130
ρ, g/cm³: 4.77
Calculated volume, Å³ per cell: 187.7

a b c (Å): 7.475 7.475 3.887
angles (deg): 90.00 90.00 120.20
Sites, in units of the cell vectors:
Li  0.142  0.858  0.750
Li  0.144  0.286  0.750
Li  0.286  0.144  0.250
Li  0.714  0.856  0.750
Li  0.856  0.714  0.250
Li  0.858  0.142  0.250
Hg  0.333  0.667  0.250
Hg  0.667  0.333  0.750
O  0.167  0.833  0.250
O  0.168  0.334  0.250
O  0.334  0.168  0.750
O  0.666  0.832  0.250
O  0.832  0.666  0.750
O  0.833  0.167  0.750

Compound: Ti7InN2
Source: Alexandria
Functional: PBE-GGA
Structure: relaxed

Formation energy without anion corrections, eV per atom: -0.505
ρ, g/cm³: 5.17
Calculated volume, Å³ per cell: 153.6

a b c (Å): 6.498 6.498 4.074
angles (deg): 90.00 90.00 116.76
Sites, in units of the cell vectors:
Ti  0.000  0.000  0.000
Ti  0.159  0.433  0.000
Ti  0.221  0.779  0.500
Ti  0.433  0.159  0.000
Ti  0.567  0.841  0.000
Ti  0.779  0.221  0.500
Ti  0.841  0.567  0.000
In  0.500  0.500  0.500
N  0.204  0.796  0.000
N  0.796  0.204  0.000

Compound: PrErCdGa
Source: Alexandria
Functional: PBE-GGA
Structure: relaxed

ρ, g/cm³: 7.94
Polymorph energy (0 for the lowest one), meV/atom: 0
Calculated volume, Å³ per cell: 102.5
Formation energy, meV per atom: -446

a b c (Å): 3.660 3.660 7.651
angles (deg): 90.00 90.00 90.00
Sites, in units of the cell vectors:
Pr  0.000  0.000  0.000
Er  0.000  0.000  0.467
Cd  0.500  0.500  0.712
Ga  0.500  0.500  0.252

Compound: TiCd2Cu2
Source: Alexandria
Functional: PBE-GGA
Structure: relaxed

ρ, g/cm³: 7.93
Polymorph energy (0 for the lowest one), meV/atom: 0
Calculated volume, Å³ per cell: 167.4
Formation energy, meV per atom: 147

a b c (Å): 7.611 7.611 2.891
angles (deg): 90.00 90.00 90.00
Sites, in units of the cell vectors:
Ti  0.000  0.000  0.000
Ti  0.500  0.500  0.000
Cd  0.177  0.323  0.500
Cd  0.323  0.823  0.500
Cd  0.677  0.177  0.500
Cd  0.823  0.677  0.500
Cu  0.120  0.620  0.000
Cu  0.380  0.120  0.000
Cu  0.620  0.880  0.000
Cu  0.880  0.380  0.000

Compound: Pr8Ni3HBr4
Source: Alexandria
Functional: PBE-GGA
Structure: relaxed

ρ, g/cm³: 6.14
Raw total energy, eV/atom: -4.86
Calculated volume, Å³ per cell: 439.0

a b c (Å): 8.122 8.122 9.009
angles (deg): 116.84 116.84 59.95
Sites, in units of the cell vectors:
Pr  0.231  0.735  0.698
Pr  0.232  0.232  0.699
Pr  0.265  0.769  0.302
Pr  0.268  0.268  0.306
Pr  0.732  0.732  0.694
Pr  0.735  0.231  0.698
Pr  0.768  0.768  0.301
Pr  0.769  0.265  0.302
Ni  0.000  0.500  0.500
Ni  0.500  0.000  0.500
Ni  0.500  0.500  0.500
H  0.000  0.000  0.500
Br  0.000  0.000  0.000
Br  0.000  0.500  0.000
Br  0.500  0.000  0.000
Br  0.500  0.500  0.000

Compound: Ba2CdTc
Source: Alexandria
Functional: PBE-GGA
Structure: relaxed

ρ, g/cm³: 6.21
Polymorph energy (0 for the lowest one), meV/atom: 61
Calculated volume, Å³ per cell: 129.6
Formation energy, meV per atom: 510

a b c (Å): 6.948 6.948 6.948
angles (deg): 148.69 131.45 58.91
Sites, in units of the cell vectors:
Ba  0.000  0.000  0.000
Ba  0.696  0.196  0.500
Cd  0.289  0.789  0.500
Tc  0.460  0.460  0.000

Number 1: size of the total moment 0.00 μB/atom. Number 2: size of the total moment 0.00 μB/atom. Number 3: size of the total moment 0.15 μB/atom. Number 4: size of the total moment 0.00 μB/atom. Number 5: size of the total moment 0.00 μB/atom. Number 6: size of the total moment 0.00 μB/atom. Number 7: size of the total moment 0.00 μB/atom. Number 8: size of the total moment 0.29 μB/atom.